No. 1
KNa2AgSn | PBE | optimized geometry

Calculated values
ΔE_f: -3.8 kJ per mole of atoms
DOS at the Fermi energy: 0.329 states/eV per atom
E: -10.79 eV/cell

a = 5.7609 Å, b = 5.7609 Å, c = 5.2567 Å
α = 90.00°, β = 90.00°, γ = 90.00°
Sites, in units of the cell vectors:
K: 0.0000 0.0000 0.0000
Na: 0.0000 0.5000 0.5000
Na: 0.5000 0.0000 0.5000
Ag: 0.5000 0.5000 0.5000
Sn: 0.5000 0.5000 0.0000

=====

No. 2
KNaAg2Sn | PBE | optimized geometry

Calculated values
ΔE_f: 1.8 kJ per mole of atoms
DOS at the Fermi energy: 0.099 states/eV per atom
E: -12.03 eV/cell

a = 5.3607 Å, b = 5.3607 Å, c = 5.8083 Å
α = 90.00°, β = 90.00°, γ = 90.00°
Sites, in units of the cell vectors:
K: 0.0000 0.0000 0.0000
Na: 0.5000 0.5000 0.0000
Ag: 0.0000 0.5000 0.5000
Ag: 0.5000 0.0000 0.5000
Sn: 0.5000 0.5000 0.5000

=====

No. 3
KNaAgSn | PBE | optimized geometry

Calculated values
ΔE_f: -11.3 kJ per mole of atoms
DOS at the Fermi energy: 0.711 states/eV per atom
E: -9.74 eV/cell

a = 4.9215 Å, b = 4.9215 Å, c = 6.9153 Å
α = 110.91°, β = 110.91°, γ = 60.09°
Sites, in units of the cell vectors:
K: 0.0000 0.0000 0.0000
Na: 0.8012 0.8012 0.4050
Ag: 0.5390 0.5390 0.6169
Sn: 0.2110 0.2110 0.6337

=====

No. 4
KNaAgSn | PBE | optimized geometry

Calculated values
ΔE_f: -3.3 kJ per mole of atoms
DOS at the Fermi energy: 0.623 states/eV per atom
E: -9.41 eV/cell

a = 5.3352 Å, b = 5.3352 Å, c = 5.3352 Å
α = 60.00°, β = 60.00°, γ = 60.00°
Sites, in units of the cell vectors:
K: 0.0000 0.0000 0.0000
Na: 0.2500 0.2500 0.2500
Ag: 0.7500 0.7500 0.7500
Sn: 0.5000 0.5000 0.5000

=====

No. 5
KNa2SrAg | PBE | optimized geometry

Calculated values
ΔE_f: 3.9 kJ per mole of atoms
DOS at the Fermi energy: 0.661 states/eV per atom
E: -8.07 eV/cell

a = 6.0163 Å, b = 6.0163 Å, c = 6.1882 Å
α = 90.00°, β = 90.00°, γ = 90.00°
Sites, in units of the cell vectors:
K: 0.0000 0.0000 0.0000
Na: 0.0000 0.5000 0.5000
Na: 0.5000 0.0000 0.5000
Sr: 0.5000 0.5000 0.0000
Ag: 0.5000 0.5000 0.5000

=====

No. 6
KNaSr2Ag | PBE | optimized geometry

Calculated values
ΔE_f: -0.3 kJ per mole of atoms
DOS at the Fermi energy: 0.861 states/eV per atom
E: -8.65 eV/cell

a = 6.2763 Å, b = 6.2763 Å, c = 6.1018 Å
α = 90.00°, β = 90.00°, γ = 90.00°
Sites, in units of the cell vectors:
K: 0.0000 0.0000 0.0000
Na: 0.5000 0.5000 0.0000
Sr: 0.0000 0.5000 0.5000
Sr: 0.5000 0.0000 0.5000
Ag: 0.5000 0.5000 0.5000

=====

No. 7
KNaSr2Ag | PBE | optimized geometry

Calculated values
ΔE_f: 2.5 kJ per mole of atoms
DOS at the Fermi energy: 0.683 states/eV per atom
E: -8.50 eV/cell

a = 6.2534 Å, b = 6.2534 Å, c = 6.4797 Å
α = 90.00°, β = 90.00°, γ = 90.00°
Sites, in units of the cell vectors:
K: 0.0000 0.0000 0.0000
Na: 0.5000 0.5000 0.0000
Sr: 0.0000 0.5000 0.5000
Sr: 0.5000 0.0000 0.5000
Ag: 0.0000 0.0000 0.5000

=====

No. 8
KNaSrAg | PBE | optimized geometry

Calculated values
ΔE_f: 3.8 kJ per mole of atoms
DOS at the Fermi energy: 0.488 states/eV per atom
E: -6.79 eV/cell

a = 5.9548 Å, b = 5.9548 Å, c = 5.9548 Å
α = 60.00°, β = 60.00°, γ = 60.00°
Sites, in units of the cell vectors:
K: 0.0000 0.0000 0.0000
Na: 0.7500 0.7500 0.7500
Sr: 0.5000 0.5000 0.5000
Ag: 0.2500 0.2500 0.2500

=====

No. 9
K2NaAg3Te4 | PBE | optimized geometry

Calculated values
DOS at the Fermi energy: 0.208 states/eV per atom
energy relative to the elements, uncorrected: -530 meV per atom
E: -29.94 eV/cell

a = 5.0497 Å, b = 5.0497 Å, c = 11.7720 Å
α = 90.00°, β = 90.00°, γ = 90.00°
Sites, in units of the cell vectors:
K: 0.0000 0.5000 0.2481
K: 0.5000 0.0000 0.7519
Na: 0.0000 0.0000 0.5000
Ag: 0.0000 0.5000 0.8753
Ag: 0.5000 0.0000 0.1247
Ag: 0.5000 0.5000 0.5000
Te: 0.0000 0.0000 0.0000
Te: 0.0000 0.5000 0.6388
Te: 0.5000 0.0000 0.3612
Te: 0.5000 0.5000 0.0000

=====

No. 10
KNaAg2Te | PBE | optimized geometry

Calculated values
DOS at the Fermi energy: 0.680 states/eV per atom
energy relative to the elements, uncorrected: 67 meV per atom
E: -10.93 eV/cell

a = 5.5166 Å, b = 5.5166 Å, c = 6.4818 Å
α = 90.00°, β = 90.00°, γ = 90.00°
Sites, in units of the cell vectors:
K: 0.0000 0.0000 0.0000
Na: 0.5000 0.5000 0.0000
Ag: 0.0000 0.5000 0.5000
Ag: 0.5000 0.0000 0.5000
Te: 0.0000 0.0000 0.5000

=====

No. 11
K2Na5Tl2Ag | PBE | optimized geometry

Calculated values
ΔE_f: -2.2 kJ per mole of atoms
DOS at the Fermi energy: 0.570 states/eV per atom
E: -33.20 eV/cell

a = 13.4144 Å, b = 13.4144 Å, c = 3.8853 Å
α = 90.00°, β = 90.00°, γ = 90.00°
Sites, in units of the cell vectors:
K: 0.1717 0.3283 0.0000
K: 0.3283 0.8283 0.0000
K: 0.6717 0.1717 0.0000
K: 0.8283 0.6717 0.0000
Na: 0.0000 0.5000 0.5000
Na: 0.0572 0.8227 0.5000
Na: 0.1773 0.0572 0.5000
Na: 0.3227 0.5572 0.5000
Na: 0.4428 0.3227 0.5000
Na: 0.5000 0.0000 0.5000
Na: 0.5572 0.6773 0.5000
Na: 0.6773 0.4428 0.5000
Na: 0.8227 0.9428 0.5000
Na: 0.9428 0.1773 0.5000
Tl: 0.1355 0.6355 0.0000
Tl: 0.3645 0.1355 0.0000
Tl: 0.6355 0.8645 0.0000
Tl: 0.8645 0.3645 0.0000
Ag: 0.0000 0.0000 0.0000
Ag: 0.5000 0.5000 0.0000

=====

No. 12
K2NaTlAg | PBE | optimized geometry

Calculated values
ΔE_f: 7.5 kJ per mole of atoms
DOS at the Fermi energy: 0.685 states/eV per atom
E: -8.34 eV/cell

a = 6.4865 Å, b = 6.4865 Å, c = 5.4359 Å
α = 90.00°, β = 90.00°, γ = 90.00°
Sites, in units of the cell vectors:
K: 0.0000 0.5000 0.0000
K: 0.5000 0.0000 0.0000
Na: 0.0000 0.0000 0.5000
Tl: 0.5000 0.5000 0.5000
Ag: 0.5000 0.5000 0.0000

=====

- Look up the E of the seventh one.
  -8.50 eV/cell

=====

What did the twelfth record say?
K2NaTlAg | PBE | optimized geometry

Calculated values
ΔE_f: 7.5 kJ per mole of atoms
DOS at the Fermi energy: 0.685 states/eV per atom
E: -8.34 eV/cell

a = 6.4865 Å, b = 6.4865 Å, c = 5.4359 Å
α = 90.00°, β = 90.00°, γ = 90.00°
Sites, in units of the cell vectors:
K: 0.0000 0.5000 0.0000
K: 0.5000 0.0000 0.0000
Na: 0.0000 0.0000 0.5000
Tl: 0.5000 0.5000 0.5000
Ag: 0.5000 0.5000 0.0000

=====

- Among the records above, which one has the lowest E?
  K2Na5Tl2Ag